<one>
VASP calculation (SCAN) on a PBEsol-optimized structure of CaPtAu.

Output
For the density of states at the Fermi level, the calculation gives 1.3 states/eV/cell.

Unit cell a=4.5024 b=4.5024 c=3.6066 alpha=90.00 beta=90.00 gamma=120.00
Space group P-6m2 (No. 187)
One atom of each set of equivalent atoms:
1 Ca 0.0000 0.0000 0.0000 x1
2 Pt 0.6667 0.3333 0.5000 x1
3 Au 0.3333 0.6667 0.5000 x1



<two>
VASP calculation (SCAN) on a PBEsol-optimized structure of CaPtAu.

Output
For the density of states at the Fermi level, the calculation gives 5.0 states/eV/cell.

Unit cell a=6.4478 b=6.4478 c=6.4478 alpha=90.00 beta=90.00 gamma=90.00
Space group F-43m (No. 216)
One atom of each set of equivalent atoms:
1 Ca 0.0000 0.0000 0.0000 x4
2 Pt 0.2500 0.2500 0.7500 x4
3 Au 0.2500 0.2500 0.2500 x4



<one> is preferred energetically. Next in line: 0.604 eV/atom higher.



<one>
VASP calculation (SCAN) on a PBEsol-optimized structure of Ca2ReAu.

Output
For the density of states at the Fermi level, the calculation gives 7.0 states/eV/cell.

Unit cell a=3.1762 b=3.1762 c=28.4755 alpha=90.00 beta=90.00 gamma=120.00
Space group R-3m (No. 166, hexagonal axes)
One atom of each set of equivalent atoms:
1 Ca 0.0000 0.0000 0.2490 x6
2 Re 0.0000 0.0000 0.5000 x3
3 Au 0.0000 0.0000 0.0000 x3



<two>
VASP calculation (SCAN) on a PBEsol-optimized structure of Ca2ReAu.

Output
For the density of states at the Fermi level, the calculation gives 2.9 states/eV/cell.

Unit cell a=2.8460 b=5.2019 c=5.4920 alpha=90.00 beta=90.00 gamma=90.00
Space group Pmm2 (No. 25)
One atom of each set of equivalent atoms:
1 Ca 0.0000 0.0000 0.0000 x1
2 Ca 0.0000 0.5000 0.3743 x1
3 Re 0.5000 0.5000 0.8629 x1
4 Au 0.5000 0.0000 0.5202 x1



<two> is preferred energetically. Next in line: 0.199 eV/atom higher.



<one>
VASP calculation (SCAN) on a PBEsol-optimized structure of Ca2TcAu.

Output
For the density of states at the Fermi level, the calculation gives 31.3 states/eV/cell.

Unit cell a=6.9742 b=6.9742 c=6.9742 alpha=90.00 beta=90.00 gamma=90.00
Space group Fm-3m (No. 225)
One atom of each set of equivalent atoms:
1 Ca 0.2500 0.2500 0.2500 x8
2 Tc 0.0000 0.0000 0.0000 x4
3 Au 0.0000 0.0000 0.5000 x4



<two>
VASP calculation (SCAN) on a PBEsol-optimized structure of Ca2TcAu.

Output
For the density of states at the Fermi level, the calculation gives 7.0 states/eV/cell.

Unit cell a=3.3209 b=3.3209 c=27.1855 alpha=90.00 beta=90.00 gamma=120.00
Space group R-3m (No. 166, hexagonal axes)
One atom of each set of equivalent atoms:
1 Ca 0.0000 0.0000 0.2478 x6
2 Tc 0.0000 0.0000 0.5000 x3
3 Au 0.0000 0.0000 0.0000 x3



<one> is preferred energetically. Next in line: 0.083 eV/atom higher.



<one>
VASP calculation (SCAN) on a PBEsol-optimized structure of CaTc2Au.

Output
For the density of states at the Fermi level, the calculation gives 7.4 states/eV/cell.

Unit cell a=3.7841 b=4.6417 c=8.0097 alpha=90.00 beta=90.00 gamma=90.00
Space group Imm2 (No. 44)
One atom of each set of equivalent atoms:
1 Ca 0.0000 0.0000 0.0000 x2
2 Tc 0.0000 0.0000 0.4456 x2
3 Tc 0.0000 0.5000 0.7644 x2
4 Au 0.0000 0.5000 0.2273 x2



<two>
VASP calculation (SCAN) on a PBEsol-optimized structure of CaTc2Au.

Output
For the density of states at the Fermi level, the calculation gives 7.3 states/eV/cell.

Unit cell a=3.8312 b=3.8312 c=9.2963 alpha=90.00 beta=90.00 gamma=90.00
Space group I4/mmm (No. 139)
One atom of each set of equivalent atoms:
1 Ca 0.0000 0.0000 0.0000 x2
2 Tc 0.0000 0.5000 0.2500 x4
3 Au 0.0000 0.0000 0.5000 x2



<one> is preferred energetically. Next in line: 0.218 eV/atom higher.